1.
4
Lattice="4.515 0.000 0.000 2.257 3.910 0.000 2.257 1.303 3.686" Properties=species:S:1:pos:R:3 comment="KCoCu2, PBEsol geometry, DFT SCAN" relative_energy_mev_per_atom=431 magmom_total_mub_per_fu=2.18 dft_energy_ev_per_atom=-13.03 ef_ev_per_atom=0.983 pbc="T T T"
Cu 6.772 3.910 2.765
Cu 2.257 1.303 0.922
K 0.000 0.000 0.000
Co 4.515 2.607 1.843



2.
28
Lattice="8.026 0.000 0.000 4.013 6.951 0.000 4.013 2.317 6.553" Properties=species:S:1:pos:R:3 comment="LaCoCu12, PBEsol geometry, DFT SCAN" magmom_total_mub_per_fu=0.00 dft_energy_ev_per_atom=-17.40 ef_ev_per_atom=-0.055 pbc="T T T"
Cu 10.401 4.346 3.684
Cu 11.540 5.579 1.939
Cu 9.463 4.380 1.337
Cu 5.651 4.922 2.869
Cu 7.088 3.516 1.337
Cu 10.602 2.063 4.614
Cu 5.450 5.038 0.407
Cu 5.450 7.204 1.939
Cu 6.589 2.721 3.684
Cu 10.602 4.230 6.146
Cu 7.088 7.067 6.146
Cu 9.664 6.663 0.407
Cu 7.088 6.835 3.684
Cu 6.589 4.887 5.216
Cu 7.527 6.005 1.337
Cu 6.388 2.605 6.146
Cu 8.964 2.201 0.407
Cu 8.525 3.263 5.216
Cu 4.512 3.688 4.614
Cu 7.088 1.118 1.939
Cu 8.964 8.150 4.614
Cu 8.964 5.752 5.216
Cu 8.964 2.433 2.869
Cu 9.463 6.547 2.869
La 4.013 2.317 1.638
La 12.039 6.951 4.915
Co 8.026 4.634 3.277
Co 0.000 0.000 0.000



3.
3
Lattice="2.465 0.000 0.000 -1.233 2.135 0.000 0.000 0.000 6.397" Properties=species:S:1:pos:R:3 comment="LiCoCu, PBEsol geometry, DFT SCAN" magmom_total_mub_per_fu=1.59 dft_energy_ev_per_atom=-11.52 ef_ev_per_atom=0.106 pbc="T T T"
Co 0.000 0.000 6.378
Cu 1.233 0.712 4.300
Li 0.000 1.423 2.116



4.
4
Lattice="3.969 0.000 0.000 1.984 3.437 0.000 1.984 1.146 3.240" Properties=species:S:1:pos:R:3 comment="LiCoCu2, PBEsol geometry, DFT SCAN" magmom_total_mub_per_fu=1.70 dft_energy_ev_per_atom=-12.30 ef_ev_per_atom=0.225 pbc="T T T"
Li 3.969 2.291 1.620
Cu 1.984 1.146 0.810
Cu 5.953 3.437 2.430
Co 0.000 0.000 0.000



5.
6
Lattice="-4.548 0.919 0.628 -3.217 -2.240 -2.561 -2.779 -3.193 2.002" Properties=species:S:1:pos:R:3 comment="Li4CoCu, PBEsol geometry, DFT SCAN" magmom_total_mub_per_fu=1.51 dft_energy_ev_per_atom=-6.60 ef_ev_per_atom=0.412 pbc="T T T"
Li -5.561 -2.811 -1.250
Li -5.343 -3.286 1.024
Li -3.958 -1.695 0.026
Li -6.225 -1.237 0.339
Cu 0.000 0.000 0.000
Co -7.908 -3.386 0.052



6.
5
Lattice="-0.435 -3.311 -2.873 2.843 -2.411 2.348 -3.336 -1.622 2.376" Properties=species:S:1:pos:R:3 comment="Li3CoCu, PBEsol geometry, DFT SCAN" magmom_total_mub_per_fu=1.39 dft_energy_ev_per_atom=-7.06 ef_ev_per_atom=0.872 pbc="T T T"
Li -1.668 -0.811 1.188
Li 1.422 -1.205 1.174
Li -0.218 -1.656 -1.436
Cu -0.464 -3.672 0.925
Co 0.000 0.000 0.000



7.
8
Lattice="-3.743 1.163 0.424 -1.049 -3.698 0.874 3.092 2.029 3.406" Properties=species:S:1:pos:R:3 comment="Li2CoCuO4, PBEsol geometry, DFT SCAN" relative_energy_mev_per_atom=49 magmom_total_mub_per_fu=0.22 raw_formation_energy_ev_per_atom=-1.48 dft_energy_ev_per_atom=-9.26 pbc="T T T"
O -1.200 1.316 4.125
O -2.012 -0.848 2.884
O 0.312 0.342 1.820
O -1.847 0.608 0.354
Cu -1.523 0.962 2.240
Co 0.000 0.000 0.000
Li -0.177 -1.468 2.465
Li -2.396 -1.268 0.649



8.
16
Lattice="5.029 0.188 0.012 1.774 4.709 0.012 -0.013 -0.009 5.572" Properties=species:S:1:pos:R:3 comment="Li2CoCuO4, PBEsol geometry, DFT SCAN" relative_energy_mev_per_atom=47 magmom_total_mub_per_fu=0.00 raw_formation_energy_ev_per_atom=-1.49 dft_energy_ev_per_atom=-9.26 pbc="T T T"
Li 3.389 2.452 2.798
Li 5.023 0.197 0.012
Li 4.239 4.780 1.410
Li 0.913 2.386 4.185
Co 3.409 2.438 0.012
Co 5.003 0.211 2.798
O 4.040 1.205 4.190
O 2.665 3.647 4.191
O 4.891 3.566 5.540
O 4.366 1.439 1.405
O 1.857 1.382 0.055
O 2.486 3.518 1.404
O 1.526 1.078 2.840
O 5.284 3.783 2.755
Cu 0.918 2.389 1.399
Cu 4.234 4.776 4.196



9.
16
Lattice="5.582 0.000 0.000 2.791 5.178 0.299 2.791 1.998 4.786" Properties=species:S:1:pos:R:3 comment="Li2CoCuO4, PBEsol geometry, DFT SCAN" relative_energy_mev_per_atom=0 magmom_total_mub_per_fu=0.53 raw_formation_energy_ev_per_atom=-1.53 dft_energy_ev_per_atom=-9.31 pbc="T T T"
Li 5.582 3.588 2.542
Li 4.186 2.589 0.149
Li 2.791 0.000 0.000
Li 1.395 2.589 0.149
O 7.096 4.649 1.609
O 4.067 2.527 3.476
O 7.096 2.527 3.476
O 2.791 1.618 1.269
O 5.582 5.322 3.649
O 8.373 5.558 3.816
O 4.067 4.649 1.609
O 5.582 1.854 1.436
Cu 2.791 3.588 2.542
Cu 0.000 0.000 0.000
Co 1.395 0.999 2.393
Co 4.186 0.999 2.393



10.
20
Lattice="-0.016 -3.072 3.849 4.263 2.752 0.716 -5.642 4.599 1.534" Properties=species:S:1:pos:R:3 comment="Li5Co2Cu3O10, PBEsol geometry, DFT SCAN" magmom_total_mub_per_fu=2.02 raw_formation_energy_ev_per_atom=-1.46 dft_energy_ev_per_atom=-9.18 pbc="T T T"
Li 1.842 1.108 3.150
Li -3.238 3.171 2.949
Li -0.698 2.140 3.049
Li -2.990 0.565 4.039
Li 1.594 3.714 2.060
Co -1.009 4.744 1.940
Co -0.387 -0.465 4.158
O 0.991 -0.797 2.883
O -1.662 3.013 1.572
O -2.387 5.076 3.216
O 0.806 1.893 1.560
O 3.214 0.546 4.569
O -4.609 3.733 1.530
O -2.202 2.386 4.538
O 0.266 1.266 4.526
O 0.000 4.095 3.355
O -1.396 0.184 2.743
Cu 2.131 1.376 0.358
Cu -1.292 4.435 4.690
Cu -0.104 -0.156 1.408



11.
10
Lattice="-1.026 -1.022 2.345 4.933 0.166 2.231 -4.296 7.568 -0.200" Properties=species:S:1:pos:R:3 comment="LiCo2CuO6, PBEsol geometry, DFT SCAN" magmom_total_mub_per_fu=0.09 raw_formation_energy_ev_per_atom=-1.18 dft_energy_ev_per_atom=-10.14 pbc="T T T"
O 1.367 2.483 1.680
O 0.220 0.059 1.742
O 0.021 5.270 3.926
O 3.079 -0.262 2.852
O -0.763 1.950 0.516
O -0.954 3.408 2.688
Co 4.632 0.345 2.177
Co -0.192 1.784 2.313
Cu 0.035 4.857 2.133
Li 2.223 1.533 3.260



12.
22
Lattice="4.842 -0.009 -0.177 -2.417 4.196 -0.177 -0.445 -0.768 9.673" Properties=species:S:1:pos:R:3 comment="Li4Co5CuO12, PBEsol geometry, DFT SCAN" magmom_total_mub_per_fu=4.06 raw_formation_energy_ev_per_atom=-1.57 dft_energy_ev_per_atom=-10.03 pbc="T T T"
Li 1.880 0.462 7.048
Li 0.100 2.956 2.271
Li 2.515 1.557 2.271
Li -0.535 1.861 7.048
Co 0.990 1.709 4.659
Co -1.447 3.121 4.659
Co 2.422 1.393 -0.177
Co 3.428 0.297 4.659
Co 0.003 2.794 -0.177
O 1.081 1.866 8.424
O 0.900 1.553 0.895
O 2.653 1.744 5.559
O 0.193 3.169 5.559
O 3.158 0.058 0.907
O 3.501 0.650 8.412
O -1.178 3.360 8.412
O -0.673 1.675 3.760
O 1.787 0.249 3.760
O 0.233 0.402 5.758
O -1.520 2.769 0.907
O 1.747 3.016 3.561
Cu 0.000 0.000 0.000



13.
29
Lattice="4.731 0.044 -0.007 0.150 6.061 0.018 0.514 0.402 10.108" Properties=species:S:1:pos:R:3 comment="Li5Co2Cu2P4O16, PBEsol geometry, DFT SCAN" magmom_total_mub_per_fu=7.00 raw_formation_energy_ev_per_atom=-2.14 dft_energy_ev_per_atom=-9.67 pbc="T T T"
Cu 0.460 1.776 2.987
Cu 4.948 4.743 7.153
Co 2.748 4.524 2.225
Co 2.663 1.994 7.915
O 4.116 1.599 4.654
O 1.866 3.783 8.402
O 1.542 4.464 0.528
O 1.294 4.919 5.487
O 1.273 5.866 3.162
O 2.000 6.311 8.585
O 4.016 3.052 6.675
O 4.140 0.653 6.981
O 3.545 2.735 1.738
O 3.412 0.207 1.555
O 1.520 1.822 6.083
O 3.891 4.697 4.057
O 1.396 3.466 3.466
O 4.085 4.911 9.070
O 1.326 1.606 1.070
O 3.868 2.055 9.612
Li 2.629 0.229 5.058
Li 0.082 3.036 0.017
Li 0.673 5.934 1.315
Li 4.739 0.583 8.828
Li 2.706 3.258 5.070
P 0.694 4.733 4.073
P 2.863 1.545 0.980
P 2.547 4.973 9.160
P 4.718 1.785 6.069



14.
28
Lattice="-2.166 2.388 3.393 -4.036 -4.338 0.475 5.782 -4.654 6.627" Properties=species:S:1:pos:R:3 comment="Li2CoCuP2O8, PBEsol geometry, DFT SCAN" magmom_total_mub_per_fu=4.00 raw_formation_energy_ev_per_atom=-2.14 dft_energy_ev_per_atom=-9.85 pbc="T T T"
P -1.599 -4.132 4.471
P -2.457 0.677 3.899
P 2.036 -7.281 6.596
P 1.178 -2.472 6.024
O 1.906 -3.269 4.939
O 0.576 -5.674 8.868
O 0.092 -1.524 5.452
O 0.499 -7.563 6.665
O 2.104 -1.580 6.918
O -2.525 -5.024 3.578
O -0.884 -3.260 3.384
O 2.778 -3.623 9.113
O 2.203 -5.732 6.464
O -0.997 -0.930 1.627
O -2.624 -0.872 4.031
O -0.513 -5.080 5.043
O 0.463 -3.344 7.111
O -2.327 -3.335 5.556
O -0.920 0.959 3.830
O -3.199 -2.981 1.382
Li -3.101 -0.975 1.934
Li 0.873 -4.496 3.551
Li -1.083 1.194 1.696
Li 2.891 -2.327 3.314
Cu -0.047 -5.303 6.961
Cu -0.375 -1.301 3.534
Co -3.888 -1.928 5.139
Co 3.467 -4.676 5.356



15.
30
Lattice="-2.239 -4.401 -1.081 5.498 -2.599 -0.777 0.159 -2.563 9.753" Properties=species:S:1:pos:R:3 comment="Li6CoCu3P4O16, PBEsol geometry, DFT SCAN" magmom_total_mub_per_fu=4.00 raw_formation_energy_ev_per_atom=-2.13 dft_energy_ev_per_atom=-9.41 pbc="T T T"
O -1.485 -4.162 0.803
O -0.159 -6.397 8.291
O 0.689 -5.178 0.480
O 4.929 -5.572 7.404
O 2.684 -4.509 7.727
O 2.378 -3.528 2.671
O 3.328 -3.718 -0.336
O -1.222 -4.937 5.500
O 3.685 -4.423 4.645
O 2.841 -6.926 7.062
O 4.693 -4.633 2.334
O 2.259 -6.758 2.377
O -0.403 -5.384 3.120
O 1.136 -2.904 5.709
O 0.552 -2.610 0.564
O 0.971 -5.975 5.193
P -0.125 -3.910 0.061
P 3.804 -3.742 3.248
P -0.460 -5.932 4.569
P 3.484 -5.843 7.963
Li 1.002 -7.085 6.904
Li -1.698 -5.809 7.282
Li 2.117 -4.477 5.767
Li 1.333 -5.096 2.361
Li -1.414 -3.802 2.759
Li 4.854 -5.769 5.378
Cu 2.479 -6.934 4.534
Cu 0.981 -4.090 8.586
Cu 2.529 -5.514 -0.020
Co 1.113 -1.920 2.375



16.
28
Lattice="5.681 -0.036 0.005 -2.805 5.143 -0.002 -0.017 -0.679 9.456" Properties=species:S:1:pos:R:3 comment="Li4Co3Cu3Te2O16, PBEsol geometry, DFT SCAN" magmom_total_mub_per_fu=0.03 raw_formation_energy_ev_per_atom=-1.42 dft_energy_ev_per_atom=-11.46 pbc="T T T"
O -1.426 3.903 5.601
O 0.000 1.207 5.704
O 0.031 4.573 3.376
O 1.261 2.171 3.346
O 4.254 0.912 0.852
O 2.828 -0.351 7.840
O 0.022 3.224 1.148
O 1.440 0.928 0.852
O -1.239 2.190 3.342
O 1.501 1.825 7.971
O -0.004 -0.071 2.751
O -0.013 -0.435 7.569
O 4.179 1.812 7.971
O 2.863 3.491 0.806
O 2.840 1.194 5.859
O 1.467 3.882 5.606
Cu 1.395 4.166 1.994
Cu 2.851 2.920 6.749
Cu -1.340 4.184 1.992
Li 2.845 1.250 3.910
Li 2.867 4.761 4.563
Li 0.007 2.828 8.604
Li -0.014 -0.567 9.363
Co 4.231 0.379 6.751
Co 1.437 0.396 6.748
Co 0.009 1.627 2.051
Te 2.835 1.128 9.307
Te 0.015 3.016 4.617



17.
5
Lattice="-0.602 -1.294 -4.072 2.944 -3.106 0.551 -3.097 -2.701 1.316" Properties=species:S:1:pos:R:3 comment="MgCoCu3, PBEsol geometry, DFT SCAN" magmom_total_mub_per_fu=2.05 dft_energy_ev_per_atom=-12.27 ef_ev_per_atom=1.302 pbc="T T T"
Cu -0.301 -0.647 -2.036
Cu -1.548 -1.351 0.658
Cu 1.472 -1.553 0.276
Mg 0.000 0.000 0.000
Co -0.378 -3.551 -1.102



18.
6
Lattice="5.360 0.000 0.000 2.680 4.642 0.000 2.680 1.547 4.377" Properties=species:S:1:pos:R:3 comment="Mg4CoCu, PBEsol geometry, DFT SCAN" magmom_total_mub_per_fu=1.93 dft_energy_ev_per_atom=-8.14 ef_ev_per_atom=0.590 pbc="T T T"
Co 8.040 4.642 3.282
Cu 0.000 0.000 0.000
Mg 4.022 2.322 1.642
Mg 6.698 2.322 1.642
Mg 5.360 3.095 3.827
Mg 5.360 4.640 1.642



19.
4
Lattice="-0.554 0.751 2.235 -3.477 0.028 -0.871 -0.400 -4.617 1.452" Properties=species:S:1:pos:R:3 comment="Mn2CoCu, PBEsol geometry, DFT SCAN" relative_energy_mev_per_atom=320 magmom_total_mub_per_fu=4.57 dft_energy_ev_per_atom=-17.05 ef_ev_per_atom=0.206 pbc="T T T"
Cu -2.216 -1.919 1.408
Mn -0.095 -1.095 0.344
Mn -0.305 -3.522 1.107
Co -2.016 0.389 0.682